No. 1
Below is Be3AlS at its PBEsol-relaxed geometry, with properties calculated at the SCAN level.

The density is 1.72 g/cm³. The raw formation energy is 5.92 eV/f.u. Its crystal system is cubic.

a = 4.362 Å, b = 4.362 Å, c = 4.362 Å
α = 90.00°, β = 90.00°, γ = 90.00°
Space group Pm-3m (No. 221)
One atom of each set of equivalent atoms:
Be 0.000 0.000 0.500
Al 0.000 0.000 0.000
S 0.500 0.500 0.500

---

No. 2
Below is BeAl3Sb at its PBEsol-relaxed geometry, with properties calculated at the SCAN level.

The density is 3.89 g/cm³. The raw formation energy is 1.57 eV/f.u. Its crystal system is cubic.

a = 4.486 Å, b = 4.486 Å, c = 4.486 Å
α = 90.00°, β = 90.00°, γ = 90.00°
Space group Pm-3m (No. 221)
One atom of each set of equivalent atoms:
Be 0.000 0.000 0.000
Al 0.000 0.000 0.500
Sb 0.500 0.500 0.500

---

No. 3
Below is BeAlSb3 at its PBEsol-relaxed geometry, with properties calculated at the SCAN level.

The density is 4.82 g/cm³. The raw formation energy is 5.38 eV/f.u. Its crystal system is cubic.

a = 5.170 Å, b = 5.170 Å, c = 5.170 Å
α = 90.00°, β = 90.00°, γ = 90.00°
Space group Pm-3m (No. 221)
One atom of each set of equivalent atoms:
Be 0.000 0.000 0.000
Al 0.500 0.500 0.500
Sb 0.000 0.500 0.500

---

No. 4
Below is Be2Al2Sb at its PBEsol-relaxed geometry, with properties calculated at the SCAN level.

The density is 3.96 g/cm³. The raw formation energy is 2.22 eV/f.u. Its crystal system is tetragonal.

a = 3.755 Å, b = 3.755 Å, c = 11.519 Å
α = 90.00°, β = 90.00°, γ = 90.00°
Space group I4/mmm (No. 139)
One atom of each set of equivalent atoms:
Be 0.000 0.500 0.250
Al 0.000 0.000 0.116
Sb 0.000 0.000 0.500

---

No. 5
Below is Be2AlSb at its PBEsol-relaxed geometry, with properties calculated at the SCAN level.

The density is 4.55 g/cm³. The raw formation energy is 2.22 eV/f.u. For the energy above the most stable polymorph in this dataset, the calculation gives 127.1 meV per atom. Its crystal system is tetragonal.

a = 4.064 Å, b = 4.064 Å, c = 7.371 Å
α = 90.00°, β = 90.00°, γ = 90.00°
Space group I4/mmm (No. 139)
One atom of each set of equivalent atoms:
Be 0.000 0.500 0.250
Al 0.000 0.000 0.000
Sb 0.000 0.000 0.500

---

No. 6
Below is Be2AlSb at its PBEsol-relaxed geometry, with properties calculated at the SCAN level.

The density is 3.55 g/cm³. The raw formation energy is 2.80 eV/f.u. For the energy above the most stable polymorph in this dataset, the calculation gives 273.6 meV per atom. Its crystal system is tetragonal.

a = 6.152 Å, b = 6.152 Å, c = 8.239 Å
α = 90.00°, β = 90.00°, γ = 90.00°
Space group I-42d (No. 122)
One atom of each set of equivalent atoms:
Be 0.243 0.250 0.125
Al 0.000 0.000 0.500
Sb 0.000 0.000 0.000

---

What is the raw formation energy in the third record? 5.38 eV/f.u.

---

Which of these has the lowest raw formation energy? BeAl3Sb

---

What is the raw formation energy in the fourth record? 2.22 eV/f.u.

---

Look up the raw formation energy of the second one. 1.57 eV/f.u.